[1]
{
  "formula": "Pr7Ho2Mg2",
  "functional": "PBE-GGA",
  "state": "optimized geometry",
  "final_energy_ev_per_atom": -4.057,
  "e_above_lowest_polymorph_kcal_per_mol_atoms": 1.05,
  "lattice": [[-7.968, 0.540, 0.238], [1.407, -4.331, 4.213], [-0.113, 3.867, 6.990]],
  "species": ["Pr", "Pr", "Pr", "Pr", "Pr", "Pr", "Pr", "Mg", "Mg", "Ho", "Ho"],
  "fractional_positions": [[0.579, 0.808, 0.939], [0.421, 0.192, 0.061], [0.939, 0.192, 0.579], [0.000, 0.000, 0.000], [0.579, 0.797, 0.421], [0.061, 0.808, 0.421], [0.421, 0.203, 0.579], [0.222, 0.500, 0.222], [0.778, 0.500, 0.778], [0.208, 0.588, 0.792], [0.792, 0.412, 0.208]]
}


[2]
{
  "formula": "PrHo2Mg",
  "functional": "PBE-GGA",
  "state": "optimized geometry",
  "final_energy_ev_per_atom": -3.862,
  "e_above_lowest_polymorph_kcal_per_mol_atoms": 1.12,
  "lattice": [[5.008, 0.000, 0.000], [0.000, 4.925, 0.000], [0.000, 0.000, 4.925]],
  "species": ["Ho", "Ho", "Pr", "Mg"],
  "fractional_positions": [[0.000, 0.500, 0.000], [0.000, 0.000, 0.500], [0.500, 0.000, 0.000], [0.500, 0.500, 0.500]]
}


[3]
{
  "formula": "PrHo2Mg",
  "functional": "PBE-GGA",
  "state": "optimized geometry",
  "final_energy_ev_per_atom": -3.685,
  "e_above_lowest_polymorph_kcal_per_mol_atoms": 5.21,
  "lattice": [[3.431, 0.000, 0.000], [1.715, 2.971, 0.000], [1.715, 0.990, 12.196]],
  "species": ["Mg", "Pr", "Ho", "Ho"],
  "fractional_positions": [[0.500, 0.500, 0.500], [0.000, 0.000, 0.000], [0.906, 0.906, 0.281], [0.094, 0.094, 0.719]]
}


[4]
{
  "formula": "Pr8HoMg2",
  "functional": "PBE-GGA",
  "state": "optimized geometry",
  "final_energy_ev_per_atom": -4.178,
  "e_above_lowest_polymorph_kcal_per_mol_atoms": 0.00,
  "lattice": [[-4.029, 3.174, 0.936], [-4.920, -4.904, -4.553], [1.781, -4.405, 8.085]],
  "species": ["Mg", "Mg", "Pr", "Pr", "Pr", "Pr", "Pr", "Pr", "Pr", "Pr", "Ho"],
  "fractional_positions": [[0.773, 0.367, 0.547], [0.227, 0.633, 0.453], [0.859, 0.803, 0.719], [0.684, 0.937, 0.369], [0.316, 0.063, 0.631], [0.050, 0.735, 0.100], [0.950, 0.265, 0.900], [0.595, 0.460, 0.190], [0.141, 0.197, 0.281], [0.405, 0.540, 0.810], [0.500, 0.000, 0.000]]
}


[5]
{
  "formula": "Pr3HoMg",
  "functional": "PBE-GGA",
  "state": "optimized geometry",
  "final_energy_ev_per_atom": -4.037,
  "e_above_lowest_polymorph_kcal_per_mol_atoms": 0.00,
  "lattice": [[3.515, 0.000, -0.622], [-0.284, 8.461, -1.603], [0.227, -1.433, 11.529]],
  "species": ["Mg", "Mg", "Pr", "Pr", "Pr", "Pr", "Pr", "Pr", "Ho", "Ho"],
  "fractional_positions": [[0.424, 0.401, 0.848], [0.576, 0.599, 0.152], [0.982, 0.775, 0.965], [0.622, 0.033, 0.244], [0.378, 0.967, 0.756], [0.176, 0.443, 0.352], [0.018, 0.225, 0.035], [0.824, 0.557, 0.648], [0.735, 0.821, 0.471], [0.265, 0.179, 0.529]]
}


[6]
{
  "formula": "Pr2Ho6Mg",
  "functional": "PBE-GGA",
  "state": "optimized geometry",
  "final_energy_ev_per_atom": -4.274,
  "e_above_lowest_polymorph_kcal_per_mol_atoms": 0.00,
  "lattice": [[3.565, 0.000, 0.000], [-1.783, 7.342, -2.035], [0.000, 0.317, 10.700]],
  "species": ["Pr", "Pr", "Ho", "Ho", "Ho", "Ho", "Ho", "Ho", "Mg"],
  "fractional_positions": [[0.665, 0.329, 0.217], [0.335, 0.671, 0.783], [0.000, 0.000, 0.661], [0.334, 0.668, 0.444], [0.336, 0.671, 0.110], [0.000, 0.000, 0.339], [0.664, 0.329, 0.890], [0.666, 0.332, 0.556], [0.000, 0.000, 0.000]]
}


[7]
{
  "formula": "Pr4HoMg3",
  "functional": "PBE-GGA",
  "state": "optimized geometry",
  "final_energy_ev_per_atom": -3.608,
  "lattice": [[3.869, 0.000, 0.000], [0.000, 5.644, 0.000], [0.000, 0.000, 11.343]],
  "species": ["Pr", "Pr", "Pr", "Pr", "Mg", "Mg", "Mg", "Ho"],
  "fractional_positions": [[0.000, 0.000, 0.000], [0.000, 0.000, 0.500], [0.000, 0.500, 0.740], [0.000, 0.500, 0.260], [0.500, 0.000, 0.750], [0.500, 0.500, 0.500], [0.500, 0.000, 0.250], [0.500, 0.500, 0.000]]
}


[8]
{
  "formula": "Pr3HoMg3",
  "functional": "PBE-GGA",
  "state": "optimized geometry",
  "final_energy_ev_per_atom": -3.320,
  "e_above_lowest_polymorph_kcal_per_mol_atoms": 0.00,
  "lattice": [[-6.105, 4.938, -0.640], [-2.746, -4.742, -5.660], [-3.577, -3.786, 4.907]],
  "species": ["Pr", "Pr", "Pr", "Pr", "Pr", "Pr", "Mg", "Mg", "Mg", "Mg", "Mg", "Mg", "Ho", "Ho"],
  "fractional_positions": [[0.000, 0.500, 0.254], [0.000, 0.500, 0.746], [0.500, 0.000, 0.746], [0.000, 0.000, 0.247], [0.000, 0.000, 0.753], [0.500, 0.000, 0.254], [0.678, 0.322, 0.500], [0.719, 0.719, 0.500], [0.322, 0.678, 0.500], [0.741, 0.259, 0.000], [0.281, 0.281, 0.500], [0.259, 0.741, 0.000], [0.688, 0.688, 0.000], [0.312, 0.312, 0.000]]
}